A relaxed LiScIr2 crystal, computed with PBE-GGA.

- Final energy: -6.652 eV per atom
- Density: 12.0 g/cm3
- Total moment: 0.0 μB/f.u.
- ΔH_f (0 K): -160 meV per atom
- Crystal system: tetragonal

Lattice parameters (Å, degrees): 3.1581 3.1581 6.0709 90.00 90.00 90.00
Space group P4mm (No. 99)
Symmetry-distinct sites (fractional):
Li: 0.0000 0.0000 0.0000 x1
Sc: 0.5000 0.5000 0.2799 x1
Ir: 0.0000 0.0000 0.5334 x1
Ir: 0.5000 0.5000 0.8227 x1